The following is a PBE with a Hubbard U calculation of a relaxed structure of BaMnIO2, from Alexandria via LeMat-Bulk.

Structure (POSCAR):
```
BaMnIO2
1.0
-1.351 -4.667 -2.905
4.949 0.812 -3.607
1.488 -4.380 6.345
I Ba Mn O
2 2 2 4
Direct
0.750 0.764 0.528
0.250 0.236 0.472
0.750 0.392 0.785
0.250 0.608 0.215
0.250 0.994 0.989
0.750 0.006 0.011
0.500 0.788 0.000
0.000 0.788 0.000
0.500 0.212 0.000
0.000 0.212 0.000
```

## Properties
density of states at the Fermi level	0.00	states/eV/cell
energy above the most stable polymorph in this dataset	0.0	meV/atom



The following is a PBE with a Hubbard U calculation of a relaxed structure of BaMnIO2, from Alexandria via LeMat-Bulk.

Structure (POSCAR):
```
BaMnIO2
1.0
4.499 0.000 0.000
0.000 4.499 0.000
0.000 0.000 5.348
I Mn Ba O
1 1 1 2
Direct
0.000 0.000 0.500
0.000 0.000 0.000
0.500 0.500 0.500
0.500 0.000 0.000
0.000 0.500 0.000
```

## Properties
density of states at the Fermi level	2.42	states/eV/cell
energy above the most stable polymorph in this dataset	874.7	meV/atom